The following is a GGA-PBE calculation of a relaxed structure of CrNi2SbN, from the Alexandria database.

a b c (Å): 3.975 3.975 3.929
angles (deg): 90.00 90.00 90.00
Fractional coordinates of all 5 atoms:
Cr  0.000  0.000  0.000
Ni  0.000  0.500  0.500
Ni  0.500  0.000  0.500
Sb  0.500  0.500  0.000
N  0.000  0.000  0.500

Properties
D(E_F): 4.1 states/eV per cell
E: -33.73 eV for the cell shown
space group: P4/mmm (123)
energy relative to the elements, uncorrected: -0.02 eV/atom
M_tot: 0.426 μB per atom

=====

The following is a GGA-PBE calculation of a relaxed structure of Cr2NiSbN, from the Alexandria database.

a b c (Å): 3.936 3.936 4.015
angles (deg): 90.00 90.00 90.00
Fractional coordinates of all 5 atoms:
Cr  0.000  0.500  0.000
Cr  0.500  0.000  0.000
Ni  0.000  0.000  0.500
Sb  0.500  0.500  0.500
N  0.000  0.000  0.000

Properties
D(E_F): 3.9 states/eV per cell
E: -37.79 eV for the cell shown
space group: P4/mmm (123)
energy relative to the elements, uncorrected: -0.06 eV/atom
M_tot: 0.679 μB per atom

=====

The following is a GGA-PBE calculation of a relaxed structure of CrNiSe2N, from the Alexandria database.

a b c (Å): 4.867 4.867 3.389
angles (deg): 90.00 90.00 90.00
Fractional coordinates of all 5 atoms:
Cr  0.000  0.000  0.000
Ni  0.500  0.500  0.500
Se  0.000  0.500  0.500
Se  0.500  0.000  0.500
N  0.500  0.500  0.000

Properties
D(E_F): 4.9 states/eV per cell
E: -26.43 eV for the cell shown
space group: P4/mmm (123)
energy relative to the elements, uncorrected: 0.85 eV/atom
polymorph energy (0 for the lowest one): 0.429 eV/atom
M_tot: 0.019 μB per atom

=====

The following is a GGA-PBE calculation of a relaxed structure of CrNiSe2N, from the Alexandria database.

a b c (Å): 4.872 4.872 3.463
angles (deg): 90.00 90.00 90.00
Fractional coordinates of all 5 atoms:
Cr  0.000  0.000  0.000
Ni  0.500  0.500  0.500
Se  0.000  0.500  0.000
Se  0.500  0.000  0.000
N  0.000  0.000  0.500

Properties
D(E_F): 4.2 states/eV per cell
E: -28.58 eV for the cell shown
space group: P4/mmm (123)
energy relative to the elements, uncorrected: 0.42 eV/atom
polymorph energy (0 for the lowest one): 0.000 eV/atom
M_tot: 0.232 μB per atom

=====

The following is a GGA-PBE calculation of a relaxed structure of Cr2NiSnN, from the Alexandria database.

a b c (Å): 3.906 3.906 4.029
angles (deg): 90.00 90.00 90.00
Fractional coordinates of all 5 atoms:
Cr  0.000  0.500  0.000
Cr  0.500  0.000  0.000
Ni  0.000  0.000  0.500
Sn  0.500  0.500  0.500
N  0.000  0.000  0.000

Properties
D(E_F): 4.4 states/eV per cell
E: -37.98 eV for the cell shown
space group: P4/mmm (123)
energy relative to the elements, uncorrected: -0.13 eV/atom
M_tot: 0.592 μB per atom

=====

The following is a GGA-PBE calculation of a relaxed structure of SrCrNiN2, from the Alexandria database.

a b c (Å): 3.912 3.912 4.800
angles (deg): 90.00 90.00 90.00
Fractional coordinates of all 5 atoms:
Sr  0.000  0.000  0.000
Cr  0.500  0.500  0.000
Ni  0.000  0.000  0.500
N  0.000  0.500  0.500
N  0.500  0.000  0.500

Properties
D(E_F): 5.0 states/eV per cell
E: -24.25 eV for the cell shown
space group: P4/mmm (123)
energy relative to the elements, uncorrected: 1.90 eV/atom
M_tot: 0.316 μB per atom